# CePu2Ge2

CePu2Ge2 after structural relaxation (PBE, Alexandria via LeMat-Bulk).

```
CePu2Ge2
1.0
7.979 0.000 0.000
0.000 7.979 0.000
0.000 0.000 3.860
Ce Pu Ge
2 4 4
Direct
0.000 0.000 0.000
0.500 0.500 0.000
0.134 0.366 0.500
0.366 0.866 0.500
0.634 0.134 0.500
0.866 0.634 0.500
0.162 0.662 0.000
0.338 0.162 0.000
0.662 0.838 0.000
0.838 0.338 0.000
```

Summary:
total energy: -9.23 eV per atom
energy above the lowest structure with this stoichiometry: 0 meV/atom
space group: P4/mbm
formation energy from the elements: -461 meV per atom
crystal system: tetragonal

# CeTa4Ge2

CeTa4Ge2 after structural relaxation (PBE, Alexandria via LeMat-Bulk).

```
CeTa4Ge2
1.0
1.838 -8.476 0.000
1.838 8.476 0.000
0.000 0.000 4.389
Ce Ta Ge
1 4 2
Direct
0.000 0.000 0.000
0.185 0.815 0.500
0.322 0.678 0.000
0.678 0.322 0.000
0.815 0.185 0.500
0.426 0.574 0.500
0.574 0.426 0.500
```

Summary:
total energy: -9.25 eV per atom
space group: Cmmm
formation energy from the elements: -307 meV per atom
crystal system: orthorhombic

# TbBiTe

TbBiTe after structural relaxation (PBE, Alexandria via LeMat-Bulk).

```
TbBiTe
1.0
2.634 1.521 9.022
-2.634 1.521 9.022
0.000 -3.042 9.022
Tb Bi Te
2 2 2
Direct
0.234 0.234 0.234
0.766 0.766 0.766
0.352 0.352 0.352
0.648 0.648 0.648
0.117 0.117 0.117
0.883 0.883 0.883
```

Summary:
raw formation energy: -0.853 eV per atom
total energy: -4.74 eV per atom
space group: R-3m
crystal system: trigonal

# Hg3IrPb

Hg3IrPb after structural relaxation (PBE, Alexandria via LeMat-Bulk).

```
Hg3IrPb
1.0
5.238 0.000 0.000
0.000 5.238 0.000
0.000 0.000 5.238
Hg Ir Pb
3 1 1
Direct
0.000 0.000 0.500
0.000 0.500 0.000
0.500 0.000 0.000
0.000 0.000 0.000
0.500 0.500 0.500
```

Summary:
total energy: -2.30 eV per atom
space group: Pm-3m
formation energy from the elements: 391 meV per atom
crystal system: cubic

# PmNd5Ho

PmNd5Ho after structural relaxation (PBE, Alexandria via LeMat-Bulk).

```
PmNd5Ho
1.0
-2.961 4.397 6.071
2.961 -4.397 6.071
2.961 4.397 -6.071
Pm Nd Ho
1 5 1
Direct
0.000 0.000 0.000
0.000 0.500 0.500
0.249 0.249 0.000
0.324 0.000 0.324
0.676 0.000 0.676
0.751 0.751 0.000
0.500 0.500 0.000
```

Summary:
total energy: -3.77 eV per atom
space group: Immm
formation energy from the elements: 964 meV per atom
crystal system: orthorhombic

# SnAsHOsBr

SnAsHOsBr after structural relaxation (PBE, Alexandria via LeMat-Bulk).

```
SnAsHOsBr
1.0
4.151 0.000 0.000
2.071 3.616 0.000
1.719 -0.454 7.528
Sn As H Os Br
1 1 1 1 1
Direct
0.000 0.000 0.000
0.205 0.366 0.270
0.695 0.653 0.947
0.589 0.687 0.164
0.169 0.954 0.660
```

Summary:
total energy: -4.97 eV per atom
energy above the lowest structure with this stoichiometry: 0 meV/atom
space group: P1
crystal system: triclinic

DOS at the Fermi energy for the records above, in order: 12.3, 7.7, 0.0, 3.5, 13.2, 1.6 states/eV/f.u.